Density functional theory data (PBE+U) for a geometry-optimized MnCu2SeO6 structure.

Cell: 9.9109 8.9421 5.1734 Å, 90.00 99.63 90.00°
With the nearest neighbours (Å) after each atom.
Space group C2/c (No. 15)
Asymmetric unit:
Mn1 0.0000 0.0868 0.2500 (multiplicity 4)  6 O 1.98-2.03
Cu1 0.1950 0.4006 0.3177 (multiplicity 8)  4 O 1.93-2.03
Se1 0.0000 0.2791 0.7500 (multiplicity 4)  4 O 1.76-1.92
O1 0.1004 0.2457 0.0959 (multiplicity 8)  1 Se 1.92, 1 Cu 1.94, 1 Mn 1.98
O2 0.1084 0.0778 0.6094 (multiplicity 8)  1 Cu 1.93, 2 Mn 1.99-2.03
O3 0.1218 0.4021 0.6586 (multiplicity 8)  1 Se 1.76

V ... 11.3 A^3/atom
Uncorrected energy ... -5.6298 eV/atom
M_tot ... 2.83 μB per formula unit